Below is crystalline Hf6IrO at its relaxed geometry, with properties calculated at the GGA-PBE level.

E_tot, eV per formula unit: -80.6
Formation energy (no corrections), meV per atom: -881

```
data_Hf6IrO
_chemical_formula_sum 'Hf6 Ir1 O1'
_space_group_name_H-M_alt 'P 1'
_space_group_IT_number 1
_cell_length_a 5.0134
_cell_length_b 5.8383
_cell_length_c 5.6755
_cell_angle_alpha 82.03
_cell_angle_beta 90.49
_cell_angle_gamma 65.83
loop_
_space_group_symop_operation_xyz
'x,y,z'
loop_
_atom_site_label
_atom_site_fract_x
_atom_site_fract_y
_atom_site_fract_z
_atom_site_occupancy
Hf1 0.0682 0.3536 0.7877 1
Hf2 0.7659 0.9821 0.6629 1
Hf3 0.5962 0.2533 0.1271 1
Hf4 0.2341 0.0179 0.3371 1
Hf5 0.9318 0.6464 0.2123 1
Hf6 0.4038 0.7467 0.8729 1
Ir1 0.5000 0.5000 0.5000 1
O1 0.0000 0.0000 0.0000 1
```